No. 1
The following is a DFT calculation (PBE-GGA) of a relaxed structure of SrTcNiSbH.

Cell lengths 4.4348, 4.4348, 17.0615 Å; angles 90.00, 90.00, 120.00 degrees
With the nearest neighbours (Å) after each atom.
Fractional coordinates of all 15 atoms:
Sr (0.0000, 0.0000, 0.4189)  3 H 2.61
Sr (0.3333, 0.6667, 0.0856)  3 H 2.61
Sr (0.6667, 0.3333, 0.7523)  3 H 2.61
Tc (0.0000, 0.0000, 0.2167)  1 H 1.72
Tc (0.3333, 0.6667, 0.8834)  1 H 1.72
Tc (0.6667, 0.3333, 0.5500)  1 H 1.72
Ni (0.0000, 0.0000, 0.6042)  3 Sb 2.58, 3 Tc 2.72
Ni (0.3333, 0.6667, 0.2709)  3 Sb 2.58, 3 Tc 2.72
Ni (0.6667, 0.3333, 0.9375)  3 Sb 2.58, 3 Tc 2.72
Sb (0.0000, 0.0000, 0.9198)  3 Ni 2.58, 3 Tc 2.63
Sb (0.3333, 0.6667, 0.5865)  3 Ni 2.58, 3 Tc 2.63
Sb (0.6667, 0.3333, 0.2531)  3 Ni 2.58, 3 Tc 2.63
H (0.0000, 0.0000, 0.1157)  1 Tc 1.72
H (0.3333, 0.6667, 0.7824)  1 Tc 1.72
H (0.6667, 0.3333, 0.4490)  1 Tc 1.72

Results
Offset from the most stable computed form   68 meV per atom
Symmetry   R3m (160)



No. 2
The following is a DFT calculation (PBE-GGA) of a relaxed structure of Li3LaHg4.

Cell lengths 4.7456, 4.7456, 9.4411 Å; angles 75.44, 75.44, 60.00 degrees
With the nearest neighbours (Å) after each atom.
Fractional coordinates of all 8 atoms:
La (0.0000, 0.0000, 0.0000)  8 Hg 3.23-3.48
Hg (0.8714, 0.8714, 0.3857)  7 Li 2.86-2.93
Hg (0.3966, 0.3966, 0.8101)  4 Li 2.80-2.90
Hg (0.1286, 0.1286, 0.6143)  7 Li 2.86-2.93
Hg (0.6034, 0.6034, 0.1899)  4 Li 2.80-2.90
Li (0.2351, 0.2351, 0.2947)  7 Hg 2.86-2.90
Li (0.7649, 0.7649, 0.7053)  7 Hg 2.86-2.90
Li (0.5000, 0.5000, 0.5000)  8 Hg 2.80-2.93

Results
Formation energy   -391.7 meV/atom
Symmetry   R-3m (166)



No. 3
The following is a DFT calculation (PBE-GGA) of a relaxed structure of TaMnSb2.

Cell lengths 4.8612, 4.8612, 5.3078 Å; angles 82.25, 82.25, 41.33 degrees
With the nearest neighbours (Å) after each atom.
Fractional coordinates of all 4 atoms:
Mn (0.2500, 0.2500, 0.2500)  2 Sb 2.72
Sb (0.0133, 0.0133, 0.9906)  1 Mn 2.72, 3 Ta 2.87-2.90
Sb (0.4867, 0.4867, 0.5094)  1 Mn 2.72, 3 Ta 2.87-2.90
Ta (0.7500, 0.7500, 0.7500)  6 Sb 2.87-2.90, 4 Mn 3.16

Results
Offset from the most stable computed form   311 meV per atom
Symmetry   C2/m (12)
Uncorrected formation energy   0.36 eV/atom



No. 4
The following is a DFT calculation (PBE-GGA) of a relaxed structure of NbTlPd3.

Cell lengths 4.9307, 4.9307, 4.9307 Å; angles 90.00, 90.00, 90.00 degrees
With the nearest neighbours (Å) after each atom.
Fractional coordinates of all 5 atoms:
Tl (0.5000, 0.5000, 0.5000)  12 Pd 3.49
Nb (0.0000, 0.0000, 0.0000)  6 Pd 2.47
Pd (0.0000, 0.5000, 0.0000)  2 Nb 2.47
Pd (0.0000, 0.0000, 0.5000)  2 Nb 2.47
Pd (0.5000, 0.0000, 0.0000)  2 Nb 2.47

Results
Formation energy   732.1 meV/atom
Offset from the most stable computed form   0 meV per atom
Symmetry   Pm-3m (221)



No. 5
The following is a DFT calculation (PBE-GGA) of a relaxed structure of CoTeOs2.

Cell lengths 8.6205, 8.6205, 8.6205 Å; angles 19.52, 19.52, 19.52 degrees
With the nearest neighbours (Å) after each atom.
Fractional coordinates of all 4 atoms:
Co (0.7489, 0.7489, 0.7489)  3 Te 2.63, 3 Os 2.66, 6 Co 2.92
Os (0.0013, 0.0013, 0.0013)  9 Os 2.64-2.92, 3 Co 2.66
Os (0.2546, 0.2546, 0.2546)  9 Os 2.64-2.92, 3 Te 2.89
Te (0.4952, 0.4952, 0.4952)  3 Co 2.63, 3 Os 2.89, 6 Te 2.92

Results
Symmetry   R3m (160)
Uncorrected formation energy   0.70 eV/atom



No. 6
The following is a DFT calculation (PBE-GGA) of a relaxed structure of YTiH.

Cell lengths 5.6172, 3.0180, 11.7046 Å; angles 90.00, 90.00, 90.00 degrees
With the nearest neighbours (Å) after each atom.
Fractional coordinates of all 12 atoms:
Y (0.8233, 0.2500, 0.3367)  4 H 2.48-2.56
Y (0.6767, 0.7500, 0.8367)  4 H 2.48-2.56
Y (0.1767, 0.7500, 0.6633)  4 H 2.48-2.56
Y (0.3233, 0.2500, 0.1633)  4 H 2.48-2.56
H (0.0259, 0.2500, 0.8245)  2 Ti 2.13
H (0.4741, 0.7500, 0.3245)  2 Ti 2.13
H (0.9741, 0.7500, 0.1755)  2 Ti 2.13
H (0.5259, 0.2500, 0.6755)  2 Ti 2.13
Ti (0.3375, 0.2500, 0.4347)  2 H 2.13
Ti (0.1625, 0.7500, 0.9347)  2 H 2.13
Ti (0.6625, 0.7500, 0.5653)  2 H 2.13
Ti (0.8375, 0.2500, 0.0653)  2 H 2.13

Results
Offset from the most stable computed form   138 meV per atom
Symmetry   Pnma (62)



No. 7
The following is a DFT calculation (PBE-GGA) of a relaxed structure of Tb6RuPt3.

Cell lengths 4.8530, 8.1423, 12.3596 Å; angles 90.00, 90.00, 90.00 degrees
With the nearest neighbours (Å) after each atom.
Fractional coordinates of all 20 atoms:
Tb (0.5000, 0.1443, 0.9049)  2 Ru 2.94, 3 Pt 3.00-3.13
Tb (0.5000, 0.1805, 0.5731)  1 Ru 2.75, 4 Pt 2.98-3.07
Tb (0.5000, 0.4976, 0.2387)  4 Pt 2.92-2.95, 1 Ru 3.23
Tb (0.5000, 0.5024, 0.7613)  4 Pt 2.92-2.95, 1 Ru 3.23
Tb (0.5000, 0.8195, 0.4269)  1 Ru 2.75, 4 Pt 2.98-3.07
Tb (0.5000, 0.8557, 0.0951)  2 Ru 2.94, 3 Pt 3.00-3.13
Tb (0.0000, 0.3557, 0.4049)  2 Ru 2.94, 3 Pt 3.00-3.13
Tb (0.0000, 0.3195, 0.0731)  1 Ru 2.75, 4 Pt 2.98-3.07
Tb (0.0000, 0.0024, 0.7387)  4 Pt 2.92-2.95, 1 Ru 3.23
Tb (0.0000, 0.9976, 0.2613)  4 Pt 2.92-2.95, 1 Ru 3.23
Tb (0.0000, 0.6805, 0.9269)  1 Ru 2.75, 4 Pt 2.98-3.07
Tb (0.0000, 0.6443, 0.5951)  2 Ru 2.94, 3 Pt 3.00-3.13
Ru (0.5000, 0.5000, 0.5000)  6 Tb 2.75-2.94
Ru (0.0000, 0.0000, 0.0000)  6 Tb 2.75-2.94
Pt (0.5000, 0.8320, 0.6677)  7 Tb 2.92-3.07
Pt (0.5000, 0.5000, 0.0000)  8 Tb 2.95-3.13
Pt (0.5000, 0.1680, 0.3323)  7 Tb 2.92-3.07
Pt (0.0000, 0.6680, 0.1677)  7 Tb 2.92-3.07
Pt (0.0000, 0.0000, 0.5000)  8 Tb 2.95-3.13
Pt (0.0000, 0.3320, 0.8323)  7 Tb 2.92-3.07

Results
Formation energy   -757.1 meV/atom
Symmetry   Pnnm (58)



No. 8
The following is a DFT calculation (PBE-GGA) of a relaxed structure of PrEuBi2.

Cell lengths 3.5368, 6.0366, 6.0366 Å; angles 90.00, 90.00, 90.00 degrees
With the nearest neighbours (Å) after each atom.
Fractional coordinates of all 4 atoms:
Eu (0.5000, 0.5000, 0.5000)  8 Bi 3.50, 2 Eu 3.54
Pr (0.5000, 0.0000, 0.0000)  8 Bi 3.50, 2 Pr 3.54
Bi (0.0000, 0.0000, 0.5000)  4 Pr 3.50, 4 Eu 3.50, 2 Bi 3.54
Bi (0.0000, 0.5000, 0.0000)  4 Eu 3.50, 4 Pr 3.50, 2 Bi 3.54

Results
Formation energy   -771.9 meV/atom
Offset from the most stable computed form   63 meV per atom
Symmetry   P4/mmm (123)



In order of appearance, density = 6.29; 9.07; 9.71; 8.54; 15.05; 4.61; 11.15; 9.16 g cm⁻³.
In order of appearance, N(E_F) = 0.742; 0.576; 0.876; 1.090; 1.016; 0.664; 0.737; 2.250 states/eV per atom.
In order of appearance, total energy = -5.214; -1.876; -6.961; -4.871; -7.475; -5.813; -6.275; -6.476 eV per atom.